A plane-wave DFT calculation with PBE-GGA was carried out for crystalline LaDyAl4Ni2 at its relaxed geometry.

## Properties
* total energy: -80.8 eV for the cell shown

a b c (Å): 6.975 4.065 10.638
angles (deg): 90.00 90.00 90.00
Space group Amm2 (No. 38)
One atom of each set of equivalent atoms:
La1 0.000 0.000 0.000 [2 per cell]
Dy1 0.500 0.000 0.889 [2 per cell]
Al1 0.199 0.000 0.280 [4 per cell]
Al2 0.311 0.000 0.611 [4 per cell]
Ni1 0.000 0.000 0.725 [2 per cell]
Ni2 0.500 0.000 0.161 [2 per cell]